Entry from the Alexandria database: a relaxed HgSbP2 crystal (PBE).

a = 3.959 Å, b = 5.999 Å, c = 3.705 Å
α = 90.00°, β = 90.00°, γ = 90.00°
Sites, in units of the cell vectors:
Hg  0.000  0.500  0.500
Sb  0.500  0.000  0.500
P  0.000  0.000  0.000
P  0.500  0.500  0.000

Results
Polymorph energy (0 for the lowest one) in meV per atom: 464
Uncorrected formation energy in eV per atom: 0.609
M_tot in μB per atom: 0.000
VASP energy in eV/atom: -3.202
Space-group type: Pmmm (47)